Entry from the Alexandria database: an optimized crystal structure of Pm3ZnPt3 (PBE).

Structure (POSCAR):
```
Pm3ZnPt3
1.0
5.7854 0.0000 0.0000
0.0000 8.7103 0.0000
0.0000 -4.3551 7.5433
Pm Zn Pt
6 2 6
Direct
0.7500 0.6947 0.6519
0.7500 0.3481 0.0429
0.7500 0.9571 0.3053
0.2500 0.3053 0.3481
0.2500 0.6519 0.9571
0.2500 0.0429 0.6947
0.2500 0.6667 0.3333
0.7500 0.3333 0.6667
0.2500 0.6798 0.6341
0.2500 0.3659 0.0457
0.2500 0.9543 0.3202
0.7500 0.3202 0.3659
0.7500 0.6341 0.9543
0.7500 0.0457 0.6798
```

Results
ΔE_f	-0.8325	eV/atom
mass density	9.5	Mg/m³
DOS(E_F)	6.608	states/eV/cell
crystal system	hexagonal

Entry from the Alexandria database: an optimized crystal structure of Pm3ZnPt3 (PBE).

Structure (POSCAR):
```
Pm3ZnPt3
1.0
4.0825 0.0000 0.6150
2.0091 5.5327 0.5206
-0.0410 0.0763 14.1303
Pm Zn Pt
6 2 6
Direct
0.5225 0.3391 0.6158
0.4775 0.6609 0.3842
0.2649 0.2430 0.2271
0.7351 0.7570 0.7729
0.3931 0.2902 0.9236
0.6069 0.7098 0.0764
0.7708 0.0607 0.3977
0.2292 0.9393 0.6023
0.8669 0.7178 0.5484
0.1331 0.2822 0.4516
0.1234 0.8302 0.9229
0.8766 0.1698 0.0771
0.9806 0.8046 0.2342
0.0194 0.1954 0.7658
```

Results
ΔE_f	-1.0210	eV/atom
mass density	11.3	Mg/m³
DOS(E_F)	8.232	states/eV/cell
crystal system	monoclinic

Entry from the Alexandria database: an optimized crystal structure of Pm2Zn4Pt5 (PBE).

Structure (POSCAR):
```
Pm2Zn4Pt5
1.0
-2.7103 0.2138 4.9588
0.5129 -4.0126 3.6780
4.8090 3.8357 5.6877
Pm Zn Pt
2 4 5
Direct
0.8755 0.0000 0.2491
0.1245 0.0000 0.7509
0.4752 0.3104 0.7392
0.5248 0.6896 0.2608
0.2144 0.3104 0.2608
0.7856 0.6896 0.7392
0.5000 0.0000 0.0000
0.0000 0.5000 0.0000
0.5000 0.5000 0.0000
0.2500 0.5000 0.5000
0.7500 0.5000 0.5000
```

Results
ΔE_f	-0.7542	eV/atom
mass density	12.2	Mg/m³
DOS(E_F)	3.475	states/eV/cell
crystal system	orthorhombic

Entry from the Alexandria database: an optimized crystal structure of Pm3Zn3Pt (PBE).

Structure (POSCAR):
```
Pm3Zn3Pt
1.0
4.4218 0.0000 -0.9647
-0.1849 3.6490 -0.8477
-0.0988 0.4284 10.1638
Pm Zn Pt
3 3 1
Direct
0.3169 0.8169 0.6338
0.6913 0.1913 0.3825
0.9932 0.9932 0.9864
0.1380 0.6380 0.2759
0.8603 0.3603 0.7206
0.5669 0.5669 0.1338
0.4335 0.4335 0.8670
```

Results
ΔE_f	-0.5431	eV/atom
mass density	8.3	Mg/m³
DOS(E_F)	5.341	states/eV/cell
crystal system	orthorhombic

Entry from the Alexandria database: an optimized crystal structure of Pm3Zn2Pt4 (PBE).

Structure (POSCAR):
```
Pm3Zn2Pt4
1.0
4.3041 0.0000 0.0000
-2.1521 5.5643 -0.4817
0.0000 -2.9760 8.2542
Pm Zn Pt
3 2 4
Direct
0.6414 0.2827 0.6925
0.0000 0.0000 0.0000
0.3586 0.7173 0.3075
0.6618 0.3237 0.3296
0.3382 0.6763 0.6704
0.7092 0.4184 0.0678
0.2908 0.5816 0.9322
0.9199 0.8398 0.5884
0.0801 0.1602 0.4116
```

Results
ΔE_f	-0.9571	eV/atom
mass density	11.7	Mg/m³
DOS(E_F)	4.793	states/eV/cell
crystal system	monoclinic

Entry from the Alexandria database: an optimized crystal structure of Pm2Zn15Pt2 (PBE).

Structure (POSCAR):
```
Pm2Zn15Pt2
1.0
6.8422 0.0078 0.0069
0.8954 6.7834 0.0069
0.8954 0.7859 6.7377
Pm Zn Pt
2 15 2
Direct
0.3374 0.3374 0.3374
0.6626 0.6626 0.6626
0.5000 0.0000 0.0000
0.0000 0.0000 0.5000
0.0000 0.5000 0.0000
0.0000 0.7155 0.2845
0.7155 0.2845 0.0000
0.2845 0.0000 0.7155
0.2845 0.7155 0.0000
0.7155 0.0000 0.2845
0.0000 0.2845 0.7155
0.1551 0.6498 0.6498
0.6498 0.6498 0.1551
0.6498 0.1551 0.6498
0.8449 0.3502 0.3502
0.3502 0.3502 0.8449
0.3502 0.8449 0.3502
0.1107 0.1107 0.1107
0.8893 0.8893 0.8893
```

Results
ΔE_f	-0.3557	eV/atom
mass density	8.8	Mg/m³
DOS(E_F)	7.417	states/eV/cell
crystal system	trigonal